Record 1
Material: Pr6Sm3Y2In
Method: DFT, GGA-PBE
State: relaxed

abc: 6.2981 6.2981 11.9669
angles: 95.16 95.16 120.28
Closest atoms and distances in Å follow each position.
Fractional positions:
Pr 0.0803 0.4062 0.2451  1 In 3.53, 6 Pr 3.54-3.68, 2 Y 3.58-3.59, 3 Sm 3.65-3.67
Pr 0.2445 0.2445 0.7526  6 Pr 3.54-3.68, 1 In 3.57, 2 Y 3.59, 3 Sm 3.64-3.67
Pr 0.4062 0.0803 0.2451  1 In 3.53, 6 Pr 3.54-3.68, 2 Y 3.58-3.59, 3 Sm 3.65-3.67
Pr 0.5938 0.9197 0.7549  1 In 3.53, 6 Pr 3.54-3.68, 2 Y 3.58-3.59, 3 Sm 3.65-3.67
Pr 0.7555 0.7555 0.2474  6 Pr 3.54-3.68, 1 In 3.57, 2 Y 3.59, 3 Sm 3.64-3.67
Pr 0.9197 0.5938 0.7549  1 In 3.53, 6 Pr 3.54-3.68, 2 Y 3.58-3.59, 3 Sm 3.65-3.67
Sm 0.1689 0.8311 0.5000  6 Sm 3.60-3.69, 6 Pr 3.64-3.67
Sm 0.5000 0.5000 0.5000  6 Sm 3.62-3.64, 6 Pr 3.65-3.67
Sm 0.8311 0.1689 0.5000  6 Sm 3.60-3.69, 6 Pr 3.64-3.67
Y 0.3340 0.6660 0.0000  6 Pr 3.58-3.59, 3 In 3.62-3.65, 3 Y 3.63
Y 0.6660 0.3340 0.0000  6 Pr 3.58-3.59, 3 In 3.62-3.65, 3 Y 3.63
In 0.0000 0.0000 0.0000  6 Pr 3.53-3.57, 6 Y 3.62-3.65

Calculated values
For the uncorrected energy, the calculation gives -58.907 eV/f.u. As for the space-group type: C2/m, No. 12.



Record 2
Material: Pr3Sm6Y2In
Method: DFT, GGA-PBE
State: relaxed

abc: 6.2572 6.2572 11.8802
angles: 95.11 95.11 120.15
Closest atoms and distances in Å follow each position.
Fractional positions:
Pr 0.0000 0.0000 0.0000  6 Pr 3.59-3.62, 6 Sm 3.65-3.67
Pr 0.3310 0.6690 0.0000  6 Pr 3.58-3.67, 6 Sm 3.64-3.68
Pr 0.6690 0.3310 0.0000  6 Pr 3.58-3.67, 6 Sm 3.64-3.68
Sm 0.0945 0.4202 0.2575  1 In 3.49, 6 Sm 3.52-3.66, 2 Y 3.53-3.54, 3 Pr 3.65-3.68
Sm 0.2548 0.2548 0.7446  1 In 3.52, 6 Sm 3.52-3.66, 2 Y 3.54, 3 Pr 3.64-3.67
Sm 0.4202 0.0945 0.2575  1 In 3.49, 6 Sm 3.52-3.66, 2 Y 3.53-3.54, 3 Pr 3.65-3.68
Sm 0.5798 0.9055 0.7425  1 In 3.49, 6 Sm 3.52-3.66, 2 Y 3.53-3.54, 3 Pr 3.65-3.68
Sm 0.7452 0.7452 0.2554  1 In 3.52, 6 Sm 3.52-3.66, 2 Y 3.54, 3 Pr 3.64-3.67
Sm 0.9055 0.5798 0.7425  1 In 3.49, 6 Sm 3.52-3.66, 2 Y 3.53-3.54, 3 Pr 3.65-3.68
Y 0.1661 0.8339 0.5000  6 Sm 3.53-3.54, 3 Y 3.60-3.61, 3 In 3.60-3.62
Y 0.8339 0.1661 0.5000  6 Sm 3.53-3.54, 3 Y 3.60-3.61, 3 In 3.60-3.62
In 0.5000 0.5000 0.5000  6 Sm 3.49-3.52, 6 Y 3.60-3.62

Calculated values
For the uncorrected energy, the calculation gives -58.744 eV/f.u. As for the space-group type: C2/m, No. 12.



Record 3
Material: Pr6Sm2Y3In
Method: DFT, GGA-PBE
State: relaxed

abc: 6.2742 6.2742 11.9655
angles: 95.05 95.05 120.15
Closest atoms and distances in Å follow each position.
Fractional positions:
Pr 0.0825 0.4086 0.7486  6 Pr 3.54-3.67, 1 In 3.57, 2 Sm 3.61, 3 Y 3.61-3.65
Pr 0.2430 0.2430 0.2504  6 Pr 3.54-3.67, 1 In 3.58, 3 Y 3.60-3.64, 2 Sm 3.62
Pr 0.4086 0.0825 0.7486  6 Pr 3.54-3.67, 1 In 3.57, 2 Sm 3.61, 3 Y 3.61-3.65
Pr 0.5914 0.9175 0.2514  6 Pr 3.54-3.67, 1 In 3.57, 2 Sm 3.61, 3 Y 3.61-3.65
Pr 0.7570 0.7570 0.7496  6 Pr 3.54-3.67, 1 In 3.58, 3 Y 3.60-3.64, 2 Sm 3.62
Pr 0.9175 0.5914 0.2514  6 Pr 3.54-3.67, 1 In 3.57, 2 Sm 3.61, 3 Y 3.61-3.65
Sm 0.3336 0.6664 0.5000  6 Pr 3.61-3.62, 3 In 3.62-3.63, 3 Sm 3.62
Sm 0.6664 0.3336 0.5000  6 Pr 3.61-3.62, 3 In 3.62-3.63, 3 Sm 3.62
Y 0.1671 0.8329 0.0000  6 Pr 3.60-3.65, 6 Y 3.61-3.63
Y 0.5000 0.5000 0.0000  6 Pr 3.61-3.64, 6 Y 3.62
Y 0.8329 0.1671 0.0000  6 Pr 3.60-3.65, 6 Y 3.61-3.63
In 0.0000 0.0000 0.5000  6 Pr 3.57-3.58, 6 Sm 3.62-3.63

Calculated values
For the uncorrected energy, the calculation gives -60.774 eV/f.u. As for the space-group type: C2/m, No. 12.



Record 4
Material: PrSmZnIn
Method: DFT, GGA-PBE
State: relaxed

abc: 5.3676 5.3676 5.3676
angles: 60.00 60.00 60.00
Closest atoms and distances in Å follow each position.
Fractional positions:
Pr 0.0000 0.0000 0.0000  4 In 3.29, 4 Zn 3.29
Sm 0.5000 0.5000 0.5000  4 In 3.29, 4 Zn 3.29
Zn 0.2500 0.2500 0.2500  4 Pr 3.29, 4 Sm 3.29
In 0.7500 0.7500 0.7500  4 Pr 3.29, 4 Sm 3.29

Calculated values
As for the energy above the most stable polymorph in this dataset: 19.0 meV per atom. For the uncorrected energy, the calculation gives -15.045 eV/f.u. As for the space-group type: F-43m, No. 216.



Record 5
Material: PrSmZnIn
Method: DFT, GGA-PBE
State: relaxed

abc: 3.7380 3.7380 7.7068
angles: 90.00 90.00 90.00
Closest atoms and distances in Å follow each position.
Fractional positions:
Pr 0.0000 0.0000 0.0000  4 Zn 3.24, 4 In 3.39, 1 Sm 3.56
Sm 0.0000 0.0000 0.5382  4 Zn 3.14, 4 In 3.33
Zn 0.5000 0.5000 0.7576  4 Sm 3.14, 4 Pr 3.24
In 0.5000 0.5000 0.2764  4 Sm 3.33, 4 Pr 3.39, 1 Zn 3.71

Calculated values
As for the energy above the most stable polymorph in this dataset: 0.0 meV per atom. For the uncorrected energy, the calculation gives -15.121 eV/f.u. As for the space-group type: P4mm, No. 99.



Record 6
Material: PrSm2Zn2In2
Method: DFT, GGA-PBE
State: relaxed

abc: 9.7883 9.7883 9.7883
angles: 28.18 28.18 28.18
Closest atoms and distances in Å follow each position.
Fractional positions:
Pr 0.0000 0.0000 0.0000  6 In 3.40, 6 Zn 3.42, 2 Sm 3.63
Sm 0.1288 0.1288 0.1288  3 Zn 3.19, 3 In 3.20, 3 Sm 3.48
Sm 0.8712 0.8712 0.8712  3 Zn 3.19, 3 In 3.20, 3 Sm 3.48
Zn 0.4052 0.4052 0.4052  3 In 2.75
Zn 0.5948 0.5948 0.5948  3 In 2.75
In 0.2624 0.2624 0.2624  3 Zn 2.75
In 0.7376 0.7376 0.7376  3 Zn 2.75

Calculated values
For the uncorrected energy, the calculation gives -24.364 eV/f.u. As for the space-group type: R-3m, No. 166.



> uncorrected energy of number 6 (PrSm2Zn2In2)?

-24.364 eV/f.u.



> What is the formula in the fifth record?

PrSmZnIn